Entry 1:
## Tb3Er4Mg (PBE)

Data for an optimized crystal structure of Tb3Er4Mg.

Summary:
Space group   C2/m, No. 12
E_form   219 meV per atom
Energy above the lowest structure with this stoichiometry   219 meV per atom

Lattice parameters (Å, degrees): 12.7991 12.7991 5.8319 95.70 95.70 15.13
Last column: nearest neighbours and their distance in Å.
Element x y z (fractional)
Tb: 0.0000 0.0000 0.0000  2 Er 3.28, 4 Mg 3.37, 2 Tb 3.37
Tb: 0.1499 0.1499 0.2156  3 Er 3.16-3.34, 2 Tb 3.37
Tb: 0.8501 0.8501 0.7844  3 Er 3.16-3.34, 2 Tb 3.37
Er: 0.1020 0.1020 0.6949  3 Tb 3.16-3.28, 2 Mg 3.20, 4 Er 3.37-3.38
Er: 0.2820 0.2820 0.2627  1 Tb 3.34, 6 Er 3.37-3.72
Er: 0.7180 0.7180 0.7373  1 Tb 3.34, 6 Er 3.37-3.72
Er: 0.8980 0.8980 0.3051  3 Tb 3.16-3.28, 2 Mg 3.20, 4 Er 3.37-3.38
Mg: 0.5000 0.5000 0.5000  4 Er 3.20, 4 Tb 3.37, 2 Mg 3.37

Entry 2:
## Tb8Er2Mg (PBE)

Data for an optimized crystal structure of Tb8Er2Mg.

Summary:
Space group   Immm, No. 71
E_form   105 meV per atom
Energy above the lowest structure with this stoichiometry   0 meV per atom

Lattice parameters (Å, degrees): 9.5667 9.5667 9.5667 146.77 132.62 59.10
Last column: nearest neighbours and their distance in Å.
Element x y z (fractional)
Tb: 0.1445 0.3644 0.7801  1 Mg 3.12, 2 Er 3.37, 1 Tb 3.38
Tb: 0.1764 0.1764 0.0000  4 Er 3.47-3.86, 8 Tb 3.55-3.60
Tb: 0.2703 0.0000 0.2703  2 Mg 3.44, 7 Tb 3.53-3.60, 2 Er 3.70
Tb: 0.4157 0.6356 0.7801  1 Mg 3.12, 2 Er 3.37, 1 Tb 3.38
Tb: 0.5843 0.3644 0.2199  1 Mg 3.12, 2 Er 3.37, 1 Tb 3.38
Tb: 0.7297 0.0000 0.7297  2 Mg 3.44, 7 Tb 3.53-3.60, 2 Er 3.70
Tb: 0.8236 0.8236 0.0000  4 Er 3.47-3.86, 8 Tb 3.55-3.60
Tb: 0.8555 0.6356 0.2199  1 Mg 3.12, 2 Er 3.37, 1 Tb 3.38
Er: 0.3049 0.8049 0.5000  10 Tb 3.37-3.70
Er: 0.6951 0.1951 0.5000  10 Tb 3.37-3.70
Mg: 0.0000 0.5000 0.5000  8 Tb 3.12-3.44

Entry 3:
## Tb2ErMg9 (PBE)

Data for an optimized crystal structure of Tb2ErMg9.

Summary:
Space group   R-3m, No. 166
E_form   -22 meV per atom

Lattice parameters (Å, degrees): 10.2953 10.2953 10.2953 34.09 34.09 34.09
Last column: nearest neighbours and their distance in Å.
Element x y z (fractional)
Tb: 0.1424 0.1424 0.1424  12 Mg 3.46-3.56, 3 Tb 3.76
Tb: 0.8576 0.8576 0.8576  12 Mg 3.46-3.56, 3 Tb 3.76
Er: 0.0000 0.0000 0.0000  18 Mg 3.48-3.88
Mg: 0.0790 0.5863 0.5863  7 Mg 2.97-3.06
Mg: 0.3341 0.3341 0.3341  6 Mg 2.99-3.00
Mg: 0.4137 0.4137 0.9210  7 Mg 2.97-3.06
Mg: 0.4137 0.9210 0.4137  7 Mg 2.97-3.06
Mg: 0.5000 0.5000 0.5000  6 Mg 2.99
Mg: 0.5863 0.0790 0.5863  7 Mg 2.97-3.06
Mg: 0.5863 0.5863 0.0790  7 Mg 2.97-3.06
Mg: 0.6659 0.6659 0.6659  6 Mg 2.99-3.00
Mg: 0.9210 0.4137 0.4137  7 Mg 2.97-3.06

Entry 4:
## Tb12Er5Mg2 (PBE)

Data for an optimized crystal structure of Tb12Er5Mg2.

Summary:
Space group   C2/m, No. 12
E_form   102 meV per atom

Lattice parameters (Å, degrees): 9.0562 9.0562 8.3547 90.82 90.82 60.20
Last column: nearest neighbours and their distance in Å.
Element x y z (fractional)
Tb: 0.0580 0.0580 0.3356  2 Mg 3.32, 7 Tb 3.32-3.45, 2 Er 3.33-3.52
Tb: 0.0693 0.6804 0.3307  4 Er 3.35-3.67, 5 Tb 3.37-3.55, 1 Mg 3.42
Tb: 0.1626 0.5327 0.7583  4 Tb 3.32-3.55, 1 Mg 3.37, 5 Er 3.49-3.68
Tb: 0.3196 0.9307 0.6693  4 Er 3.35-3.67, 5 Tb 3.37-3.55, 1 Mg 3.42
Tb: 0.4129 0.4129 0.1108  5 Tb 3.32-3.53, 2 Mg 3.42, 3 Er 3.42-3.51
Tb: 0.4673 0.8374 0.2417  4 Tb 3.32-3.55, 1 Mg 3.37, 5 Er 3.49-3.68
Tb: 0.5327 0.1626 0.7583  4 Tb 3.32-3.55, 1 Mg 3.37, 5 Er 3.49-3.68
Tb: 0.5871 0.5871 0.8892  5 Tb 3.32-3.53, 2 Mg 3.42, 3 Er 3.42-3.51
Tb: 0.6804 0.0693 0.3307  4 Er 3.35-3.67, 5 Tb 3.37-3.55, 1 Mg 3.42
Tb: 0.8374 0.4673 0.2417  4 Tb 3.32-3.55, 1 Mg 3.37, 5 Er 3.49-3.68
Tb: 0.9307 0.3196 0.6693  4 Er 3.35-3.67, 5 Tb 3.37-3.55, 1 Mg 3.42
Tb: 0.9420 0.9420 0.6644  2 Mg 3.32, 7 Tb 3.32-3.45, 2 Er 3.33-3.52
Er: 0.1999 0.1999 0.0127  8 Tb 3.42-3.59, 2 Mg 3.50, 1 Er 3.56
Er: 0.2660 0.2660 0.4228  10 Tb 3.33-3.68, 2 Er 3.56-3.71
Er: 0.5000 0.5000 0.5000  10 Tb 3.51-3.67, 2 Er 3.71
Er: 0.7340 0.7340 0.5772  10 Tb 3.33-3.68, 2 Er 3.56-3.71
Er: 0.8001 0.8001 0.9873  8 Tb 3.42-3.59, 2 Mg 3.50, 1 Er 3.56
Mg: 0.1706 0.8294 0.0000  1 Mg 3.10, 8 Tb 3.32-3.42
Mg: 0.8294 0.1706 0.0000  1 Mg 3.10, 8 Tb 3.32-3.42

Entry 5:
## TbEr2Mg9 (PBE)

Data for an optimized crystal structure of TbEr2Mg9.

Summary:
Space group   R-3m, No. 166
E_form   -26 meV per atom

Lattice parameters (Å, degrees): 10.2758 10.2758 10.2758 34.08 34.08 34.08
Last column: nearest neighbours and their distance in Å.
Element x y z (fractional)
Tb: 0.0000 0.0000 0.0000  18 Mg 3.48-3.88
Er: 0.1436 0.1436 0.1436  12 Mg 3.47-3.54, 3 Er 3.73
Er: 0.8564 0.8564 0.8564  12 Mg 3.47-3.54, 3 Er 3.73
Mg: 0.0792 0.5871 0.5871  7 Mg 2.96-3.06
Mg: 0.3341 0.3341 0.3341  6 Mg 3.00-3.01
Mg: 0.4129 0.4129 0.9208  7 Mg 2.96-3.06
Mg: 0.4129 0.9208 0.4129  7 Mg 2.96-3.06
Mg: 0.5000 0.5000 0.5000  6 Mg 2.97
Mg: 0.5871 0.0792 0.5871  7 Mg 2.96-3.06
Mg: 0.5871 0.5871 0.0792  7 Mg 2.96-3.06
Mg: 0.6659 0.6659 0.6659  6 Mg 3.00-3.01
Mg: 0.9208 0.4129 0.4129  7 Mg 2.96-3.06

Entry 6:
## Tb6Er4Mg (PBE)

Data for an optimized crystal structure of Tb6Er4Mg.

Summary:
Space group   I-42m, No. 121
E_form   280 meV per atom

Lattice parameters (Å, degrees): 9.6548 9.6548 9.6548 140.94 140.94 56.43
Last column: nearest neighbours and their distance in Å.
Element x y z (fractional)
Tb: 0.0000 0.5000 0.5000  2 Mg 3.23, 4 Tb 3.32
Tb: 0.1890 0.1890 0.6500  3 Tb 3.20-3.32, 5 Er 3.32-3.45
Tb: 0.4610 0.8110 0.0000  3 Tb 3.20-3.32, 5 Er 3.32-3.45
Tb: 0.5000 0.0000 0.5000  2 Mg 3.23, 4 Tb 3.32
Tb: 0.5390 0.5390 0.3500  3 Tb 3.20-3.32, 5 Er 3.32-3.45
Tb: 0.8110 0.4610 0.0000  3 Tb 3.20-3.32, 5 Er 3.32-3.45
Er: 0.0135 0.6486 0.0000  5 Tb 3.32-3.45, 1 Mg 3.32, 1 Er 3.33
Er: 0.3514 0.3514 0.3650  5 Tb 3.32-3.45, 1 Mg 3.32, 1 Er 3.33
Er: 0.6486 0.0135 0.0000  5 Tb 3.32-3.45, 1 Mg 3.32, 1 Er 3.33
Er: 0.9865 0.9865 0.6350  5 Tb 3.32-3.45, 1 Mg 3.32, 1 Er 3.33
Mg: 0.0000 0.0000 0.0000  4 Tb 3.23, 4 Er 3.32